! Hf5Al | Alexandria | GGA-PBE | relaxed; values from VASP
&SYSTEM
  ibrav = 0, nat = 6, ntyp = 2
/
ATOMIC_SPECIES
Hf 178.49 Hf.upf
Al 26.98 Al.upf
CELL_PARAMETERS angstrom
2.194 -6.610 0.000
2.194 6.610 0.000
0.000 0.000 4.369
ATOMIC_POSITIONS angstrom
Hf 0.000 0.000 0.000
Hf 2.194 4.444 2.185
Hf 2.194 2.167 0.000
Hf 2.194 -2.167 0.000
Hf 2.194 -4.444 2.185
Al 2.194 0.000 2.185
! space-group type	No. 65
! mass density	12.05	g/cm³
! total moment	0.00	μB per formula unit
! Fermi-level density of states	0.960	states/eV per atom
! VASP energy	-9.047	eV/atom

***

! EuHoGa2 | Alexandria | GGA-PBE | relaxed; values from VASP
&SYSTEM
  ibrav = 0, nat = 4, ntyp = 3
/
ATOMIC_SPECIES
Eu 151.96 Eu.upf
Ho 164.93 Ho.upf
Ga 69.72 Ga.upf
CELL_PARAMETERS angstrom
0.000 3.646 3.646
3.646 0.000 3.646
3.646 3.646 0.000
ATOMIC_POSITIONS angstrom
Eu 0.000 0.000 0.000
Ho 3.646 3.646 3.646
Ga 1.823 1.823 1.823
Ga 5.468 5.468 5.468
! space-group type	No. 225
! mass density	7.82	g/cm³
! total moment	7.05	μB per formula unit
! Fermi-level density of states	1.056	states/eV per atom
! VASP energy	-5.715	eV/atom

***

! ZrTlNiOs2 | Alexandria | GGA-PBE | relaxed; values from VASP
&SYSTEM
  ibrav = 0, nat = 5, ntyp = 4
/
ATOMIC_SPECIES
Zr 91.22 Zr.upf
Tl 204.38 Tl.upf
Ni 58.69 Ni.upf
Os 190.23 Os.upf
CELL_PARAMETERS angstrom
4.589 0.000 0.000
0.000 4.589 0.000
0.000 0.000 4.581
ATOMIC_POSITIONS angstrom
Zr 0.000 0.000 0.000
Tl 2.295 2.295 0.000
Ni 2.295 2.295 2.290
Os 0.000 2.295 2.290
Os 2.295 0.000 2.290
! space-group type	No. 123
! mass density	12.65	g/cm³
! total moment	1.83	μB per formula unit
! Fermi-level density of states	1.082	states/eV per atom
! VASP energy	-6.677	eV/atom

***

! Y2TmZn2In2 | Alexandria | GGA-PBE | relaxed; values from VASP
&SYSTEM
  ibrav = 0, nat = 7, ntyp = 4
/
ATOMIC_SPECIES
Y 88.91 Y.upf
Tm 168.93 Tm.upf
Zn 65.41 Zn.upf
In 114.82 In.upf
CELL_PARAMETERS angstrom
2.343 1.353 9.069
-2.343 1.353 9.069
0.000 -2.706 9.069
ATOMIC_POSITIONS angstrom
Y 0.000 0.000 3.446
Y 0.000 0.000 23.762
Tm 0.000 0.000 0.000
Zn 0.000 0.000 10.654
Zn 0.000 0.000 16.554
In 0.000 0.000 7.193
In 0.000 0.000 20.015
! space-group type	No. 166
! mass density	6.81	g/cm³
! total moment	0.00	μB per formula unit
! Fermi-level density of states	0.447	states/eV per atom
! VASP energy	-3.910	eV/atom

***

! TbSmAgPd | Alexandria | GGA-PBE | relaxed; values from VASP
&SYSTEM
  ibrav = 0, nat = 4, ntyp = 4
/
ATOMIC_SPECIES
Tb 158.93 Tb.upf
Sm 150.36 Sm.upf
Ag 107.87 Ag.upf
Pd 106.42 Pd.upf
CELL_PARAMETERS angstrom
0.000 3.616 3.616
3.616 0.000 3.616
3.616 3.616 0.000
ATOMIC_POSITIONS angstrom
Tb 0.000 0.000 0.000
Sm 3.616 3.616 3.616
Ag 1.808 1.808 1.808
Pd 5.424 5.424 5.424
! space-group type	No. 216
! mass density	9.19	g/cm³
! total moment	0.00	μB per formula unit
! Fermi-level density of states	0.680	states/eV per atom
! VASP energy	-4.898	eV/atom

***

! SrU2RuN4 | Alexandria | GGA-PBE | relaxed; values from VASP
&SYSTEM
  ibrav = 0, nat = 16, ntyp = 4
/
ATOMIC_SPECIES
Sr 87.62 Sr.upf
U 238.03 U.upf
Ru 101.07 Ru.upf
N 14.01 N.upf
CELL_PARAMETERS angstrom
1.706 -5.917 0.000
1.706 5.917 0.000
0.000 0.000 11.742
ATOMIC_POSITIONS angstrom
Sr 1.706 4.753 8.806
Sr 1.706 -4.753 2.935
U 1.706 1.552 6.541
U 1.706 1.552 11.072
U 1.706 -1.552 0.670
U 1.706 -1.552 5.201
Ru 1.706 3.945 2.935
Ru 1.706 -3.945 8.806
N 0.000 0.000 0.000
N 0.000 0.000 5.871
N 1.706 2.797 1.137
N 1.706 2.797 4.734
N 1.706 0.748 8.806
N 1.706 -0.748 2.935
N 1.706 -2.797 7.008
N 1.706 -2.797 10.605
! space-group type	No. 63
! energy relative to the elements, uncorrected	-0.99	eV/atom
! mass density	10.10	g/cm³
! total moment	1.44	μB per formula unit
! Fermi-level density of states	0.633	states/eV per atom

***

! Cs3Pu2HgBr9 | Alexandria | GGA-PBE | relaxed; values from VASP
&SYSTEM
  ibrav = 0, nat = 15, ntyp = 4
/
ATOMIC_SPECIES
Cs 132.91 Cs.upf
Pu 244.00 Pu.upf
Hg 200.59 Hg.upf
Br 79.90 Br.upf
CELL_PARAMETERS angstrom
8.060 0.000 0.000
-4.030 6.981 0.000
0.000 0.000 12.888
ATOMIC_POSITIONS angstrom
Cs 0.000 0.000 0.000
Cs 0.000 4.654 9.526
Cs 4.030 2.327 3.362
Pu 0.000 4.654 1.846
Pu 4.030 2.327 11.042
Hg 0.000 0.000 6.444
Br -2.015 3.490 0.000
Br 0.000 2.280 3.279
Br -2.056 5.841 3.279
Br 1.975 1.140 9.609
Br 4.030 0.000 0.000
Br 2.015 3.490 0.000
Br 2.056 5.841 3.279
Br 6.086 1.140 9.609
Br 4.030 4.701 9.609
! space-group type	No. 164
! energy relative to the elements, uncorrected	-1.52	eV/atom
! mass density	4.14	g/cm³
! total moment	10.00	μB per formula unit
! Fermi-level density of states	1.936	states/eV per atom

***

! Fe5NiPd8 | Alexandria | GGA-PBE | relaxed; values from VASP
&SYSTEM
  ibrav = 0, nat = 14, ntyp = 3
/
ATOMIC_SPECIES
Fe 55.84 Fe.upf
Ni 58.69 Ni.upf
Pd 106.42 Pd.upf
CELL_PARAMETERS angstrom
-3.735 3.735 3.761
3.735 -3.735 3.761
3.735 3.735 -3.761
ATOMIC_POSITIONS angstrom
Fe 0.000 0.000 0.000
Fe 2.985 2.360 -0.641
Fe 1.375 -0.750 4.402
Fe 0.750 1.375 3.121
Fe 2.360 4.486 0.641
Ni 3.735 0.000 1.881
Pd 1.458 -0.838 1.848
Pd 2.277 4.574 -1.913
Pd 0.479 2.493 0.667
Pd 2.897 2.277 1.913
Pd -0.479 4.978 0.667
Pd -1.242 3.256 3.094
Pd 0.838 1.458 5.674
Pd 1.242 4.214 3.094
! space-group type	No. 82
! mass density	9.41	g/cm³
! total moment	18.64	μB per formula unit
! Fermi-level density of states	0.945	states/eV per atom
! VASP energy	-6.253	eV/atom

***

! Mg2Zn7 | Alexandria | GGA-PBE | relaxed; values from VASP
&SYSTEM
  ibrav = 0, nat = 18, ntyp = 2
/
ATOMIC_SPECIES
Mg 24.30 Mg.upf
Zn 65.41 Zn.upf
CELL_PARAMETERS angstrom
2.600 1.501 12.836
-2.600 1.501 12.836
0.000 -3.002 12.836
ATOMIC_POSITIONS angstrom
Mg 0.000 0.000 1.815
Mg 0.000 0.000 5.780
Mg 0.000 0.000 32.729
Mg 0.000 0.000 36.694
Zn -1.300 -0.750 12.836
Zn -1.315 -0.759 17.156
Zn 0.000 0.000 10.681
Zn 0.000 -1.519 21.353
Zn -1.315 0.759 21.353
Zn 0.000 0.000 15.000
Zn -1.300 0.750 25.673
Zn 0.000 1.501 12.836
Zn 0.000 0.000 19.255
Zn 0.000 0.000 23.510
Zn 1.315 -0.759 17.156
Zn 0.000 1.519 17.156
Zn 0.000 0.000 27.828
Zn 1.315 0.759 21.353
! space-group type	No. 166
! mass density	5.60	g/cm³
! total moment	0.00	μB per formula unit
! Fermi-level density of states	0.377	states/eV per atom
! VASP energy	-1.388	eV/atom

***

! Y4Ho3Co2 | Alexandria | GGA-PBE | relaxed; values from VASP
&SYSTEM
  ibrav = 0, nat = 9, ntyp = 3
/
ATOMIC_SPECIES
Y 88.91 Y.upf
Ho 164.93 Ho.upf
Co 58.93 Co.upf
CELL_PARAMETERS angstrom
8.180 -1.810 0.000
8.180 1.810 0.000
-3.553 0.000 8.186
ATOMIC_POSITIONS angstrom
Y 0.809 0.000 3.224
Y 1.414 0.000 6.984
Y 11.393 0.000 1.203
Y 11.997 0.000 4.962
Ho 5.916 0.000 2.507
Ho 8.180 0.000 0.000
Ho 6.890 0.000 5.679
Co -1.414 0.000 7.652
Co 14.221 0.000 0.534
! space-group type	No. 12
! mass density	6.63	g/cm³
! total moment	0.00	μB per formula unit
! Fermi-level density of states	1.164	states/eV per atom
! VASP energy	-6.081	eV/atom

***

! Mn2GeN | Alexandria | GGA-PBE | relaxed; values from VASP
&SYSTEM
  ibrav = 0, nat = 4, ntyp = 3
/
ATOMIC_SPECIES
Mn 54.94 Mn.upf
Ge 72.64 Ge.upf
N 14.01 N.upf
CELL_PARAMETERS angstrom
-1.495 1.495 5.009
1.495 -1.495 5.009
1.495 1.495 -5.009
ATOMIC_POSITIONS angstrom
Mn 0.000 0.000 0.000
Mn 0.000 0.000 3.283
Ge 0.000 0.000 7.166
N 0.000 0.000 5.205
! space-group type	No. 107
! energy relative to the elements, uncorrected	-0.06	eV/atom
! mass density	7.29	g/cm³
! total moment	2.81	μB per formula unit
! Fermi-level density of states	0.530	states/eV per atom

***

! Li2In2Rh | Alexandria | GGA-PBE | relaxed; values from VASP
&SYSTEM
  ibrav = 0, nat = 10, ntyp = 3
/
ATOMIC_SPECIES
Li 6.94 Li.upf
In 114.82 In.upf
Rh 102.91 Rh.upf
CELL_PARAMETERS angstrom
7.283 0.000 0.000
0.000 7.283 0.000
0.000 0.000 3.300
ATOMIC_POSITIONS angstrom
Li 1.117 2.524 0.000
Li 2.524 6.166 0.000
Li 4.759 1.117 0.000
Li 6.166 4.759 0.000
In 1.105 4.747 1.650
In 2.536 1.105 1.650
In 4.747 6.177 1.650
In 6.177 2.536 1.650
Rh 0.000 0.000 1.650
Rh 3.641 3.641 1.650
! space-group type	No. 127
! mass density	6.57	g/cm³
! total moment	0.00	μB per formula unit
! Fermi-level density of states	0.420	states/eV per atom
! VASP energy	-3.461	eV/atom